Computed, not measured: CaCo3O after structural relaxation at the PBE with a Hubbard U level of DFT.

Results
**Raw total energy**: -2.1219 eV per atom
**Size of the total moment**: 6.4 μB/cell

The structure in POSCAR format:
```
CaCo3O
1.0
4.782 0.000 0.000
0.000 4.782 0.000
0.000 0.000 4.782
Ca Co O
1 3 1
Direct
0.000 0.000 0.000
0.000 0.000 0.500
0.000 0.500 0.000
0.500 0.000 0.000
0.500 0.500 0.500
```